Computed, not measured: HgTe3Br after structural relaxation at the PBE level of DFT.

a = 5.6327 Å, b = 5.6327 Å, c = 5.6327 Å
α = 90.00°, β = 90.00°, γ = 90.00°
With the nearest neighbours (Å) after each atom.
Space group Pm-3m (No. 221)
Symmetry-distinct sites (fractional):
Hg  0.0000  0.0000  0.0000 (multiplicity 1)  6 Te 2.82
Te  0.0000  0.0000  0.5000 (multiplicity 3)  2 Hg 2.82
Br  0.5000  0.5000  0.5000 (multiplicity 1)  12 Te 3.98

Raw total energy (eV for the cell shown): -8.27
Theoretical density (g/cm³): 6.2

Computed, not measured: HgTeBr6 after structural relaxation at the PBE level of DFT.

a = 7.0335 Å, b = 12.9055 Å, c = 7.0240 Å
α = 90.00°, β = 110.95°, γ = 90.00°
With the nearest neighbours (Å) after each atom.
Space group C2/m (No. 12)
Symmetry-distinct sites (fractional):
Hg  0.0000  0.0000  0.0000 (multiplicity 2)  6 Br 2.79-3.09
Te  0.0000  0.5000  0.5000 (multiplicity 2)  6 Br 2.70-2.78
Br  0.2331  0.5000  0.2674 (multiplicity 4)  1 Te 2.70
Br  0.2487  0.3494  0.7493 (multiplicity 8)  1 Te 2.78, 1 Hg 2.79

Raw total energy (eV for the cell shown): -32.09
Theoretical density (g/cm³): 4.5

Computed, not measured: HgTeBr6 after structural relaxation at the PBE level of DFT.

a = 7.0077 Å, b = 7.0077 Å, c = 18.9715 Å
α = 90.00°, β = 90.00°, γ = 120.00°
With the nearest neighbours (Å) after each atom.
Space group R-3 (No. 148, hexagonal axes)
Symmetry-distinct sites (fractional):
Hg  0.0000  0.0000  0.0000 (multiplicity 3)  6 Br 2.87
Te  0.0000  0.0000  0.5000 (multiplicity 3)  6 Br 2.75
Br  0.0009  0.6770  0.4178 (multiplicity 18)  1 Te 2.75, 1 Hg 2.87

Raw total energy (eV for the cell shown): -47.74
Theoretical density (g/cm³): 5.0

Computed, not measured: HgTeBr after structural relaxation at the PBE level of DFT.

a = 4.2000 Å, b = 3.5603 Å, c = 14.1240 Å
α = 90.00°, β = 90.05°, γ = 90.00°
With the nearest neighbours (Å) after each atom.
Space group Pm (No. 6)
Symmetry-distinct sites (fractional):
Hg  0.0000  0.0000  0.0000 (multiplicity 1)  2 Br 2.72, 2 Te 2.80-2.84
Hg  0.0320  0.0000  0.4997 (multiplicity 1)  2 Br 2.72, 2 Te 2.80-2.84
Te  0.5060  0.0000  0.1332 (multiplicity 1)  2 Hg 2.80-2.84
Te  0.5266  0.0000  0.6329 (multiplicity 1)  2 Hg 2.80-2.84
Br  0.0092  0.5000  0.3547 (multiplicity 1)  2 Hg 2.72
Br  0.0223  0.5000  0.8550 (multiplicity 1)  2 Hg 2.72

Raw total energy (eV for the cell shown): -10.96
Theoretical density (g/cm³): 6.4